[1]
Compound: Tb5DyHg3
Source: Alexandria via LeMat-Bulk
Functional: PBE
Structure: relaxed

Results
DFT formation energy ... -308 meV/atom
DOS at the Fermi energy ... 10.0 states/eV per cell

a = 9.1154 Å, b = 9.1154 Å, c = 6.9463 Å
α = 90.00°, β = 90.00°, γ = 120.00°
Space group P6_3/mcm (No. 193)
Unique sites:
Tb 0.0000 0.3332 0.2500
Tb 0.3333 0.6667 0.0000
Dy 0.0000 0.0000 0.0000
Hg 0.0000 0.3332 0.7500

[2]
Compound: TbDy2Hg2
Source: Alexandria via LeMat-Bulk
Functional: PBE
Structure: relaxed

Results
DFT formation energy ... -388 meV/atom
DOS at the Fermi energy ... 9.7 states/eV per cell
ΔE to the lowest computed polymorph ... 0.0000 eV per atom

a = 3.7444 Å, b = 5.3080 Å, c = 13.7427 Å
α = 90.00°, β = 97.86°, γ = 90.00°
Space group P2_1/m (No. 11)
Unique sites:
Tb 0.1466 0.2500 0.2927
Dy 0.0471 0.7500 0.0945
Dy 0.2353 0.7500 0.4711
Hg 0.3564 0.2500 0.7126
Hg 0.4527 0.7500 0.9046

[3]
Compound: TbDyHg2
Source: Alexandria via LeMat-Bulk
Functional: PBE
Structure: relaxed

Results
DFT formation energy ... -481 meV/atom
DOS at the Fermi energy ... 4.3 states/eV per cell
ΔE to the lowest computed polymorph ... 0.0000 eV per atom

a = 5.2533 Å, b = 5.2533 Å, c = 3.7600 Å
α = 90.00°, β = 90.00°, γ = 90.00°
Space group P4/mmm (No. 123)
Unique sites:
Tb 0.0000 0.0000 0.0000
Dy 0.5000 0.5000 0.0000
Hg 0.0000 0.5000 0.5000

[4]
Compound: TbDy7Hg4
Source: Alexandria via LeMat-Bulk
Functional: PBE
Structure: relaxed

Results
DFT formation energy ... -102 meV/atom
DOS at the Fermi energy ... 25.8 states/eV per cell

a = 14.6051 Å, b = 5.6789 Å, c = 9.7495 Å
α = 90.00°, β = 122.26°, γ = 90.00°
Space group C2/m (No. 12)
Unique sites:
Tb 0.0000 0.0000 0.0000
Dy 0.0000 0.5000 0.0000
Dy 0.0664 0.0000 0.4053
Dy 0.2079 0.0000 0.8847
Dy 0.2322 0.5000 0.6845
Hg 0.0466 0.5000 0.7260
Hg 0.1888 0.5000 0.3395

Q: Look up the DFT formation energy of the third one.
A: -481 meV/atom

Q: Which value of DOS at the Fermi energy does entry 1 give?
A: 10.0 states/eV per cell

Q: Number 4 is which compound?
A: TbDy7Hg4

Q: DOS at the Fermi energy of number 2 (TbDy2Hg2)?
A: 9.7 states/eV per cell